Model A:
An optimized crystal structure of MgTl2In4. Source: Alexandria, functional PBE-GGA.

abc: 5.5500 21.7965 3.2566
angles: 90.00 90.00 90.00
Closest atoms and distances in Å follow each position.
Fractional positions:
Mg  0.0000  0.0000  0.0000  8 In 3.18-3.19, 2 Mg 3.26
Mg  0.5000  0.5000  0.0000  8 In 3.18-3.19, 2 Mg 3.26
Tl  0.0000  0.2910  0.5000  4 Tl 3.26-3.30, 5 In 3.31-3.60
Tl  0.0000  0.7090  0.5000  4 Tl 3.26-3.30, 5 In 3.31-3.60
Tl  0.5000  0.2090  0.5000  4 Tl 3.26-3.30, 5 In 3.31-3.60
Tl  0.5000  0.7910  0.5000  4 Tl 3.26-3.30, 5 In 3.31-3.60
In  0.0000  0.1259  0.5000  2 Mg 3.19, 6 In 3.26-3.43, 2 Tl 3.31
In  0.0000  0.4284  0.0000  7 In 3.12-3.43, 2 Mg 3.18, 2 Tl 3.41
In  0.0000  0.5716  0.0000  7 In 3.12-3.43, 2 Mg 3.18, 2 Tl 3.41
In  0.0000  0.8741  0.5000  2 Mg 3.19, 6 In 3.26-3.43, 2 Tl 3.31
In  0.5000  0.0716  0.0000  7 In 3.12-3.43, 2 Mg 3.18, 2 Tl 3.41
In  0.5000  0.3741  0.5000  2 Mg 3.19, 6 In 3.26-3.43, 2 Tl 3.31
In  0.5000  0.6259  0.5000  2 Mg 3.19, 6 In 3.26-3.43, 2 Tl 3.31
In  0.5000  0.9284  0.0000  7 In 3.12-3.43, 2 Mg 3.18, 2 Tl 3.41

Model B:
An optimized crystal structure of MgTl2In4. Source: Alexandria, functional PBE-GGA.

abc: 4.6207 25.1379 3.3321
angles: 90.00 90.00 90.00
Closest atoms and distances in Å follow each position.
Fractional positions:
Mg  0.0000  0.0000  0.0000  10 In 3.26-3.27, 2 Mg 3.33
Mg  0.5000  0.5000  0.0000  10 In 3.26-3.27, 2 Mg 3.33
Tl  0.0000  0.2976  0.5000  4 Tl 3.33, 5 In 3.38-3.50
Tl  0.0000  0.7024  0.5000  4 Tl 3.33, 5 In 3.38-3.50
Tl  0.5000  0.2024  0.5000  4 Tl 3.33, 5 In 3.38-3.50
Tl  0.5000  0.7976  0.5000  4 Tl 3.33, 5 In 3.38-3.50
In  0.0000  0.1301  0.0000  1 Mg 3.27, 6 In 3.31-3.33, 4 Tl 3.38
In  0.0000  0.4369  0.5000  7 In 3.17-3.33, 4 Mg 3.26, 1 Tl 3.50
In  0.0000  0.5631  0.5000  7 In 3.17-3.33, 4 Mg 3.26, 1 Tl 3.50
In  0.0000  0.8699  0.0000  1 Mg 3.27, 6 In 3.31-3.33, 4 Tl 3.38
In  0.5000  0.0631  0.5000  7 In 3.17-3.33, 4 Mg 3.26, 1 Tl 3.50
In  0.5000  0.3699  0.0000  1 Mg 3.27, 6 In 3.31-3.33, 4 Tl 3.38
In  0.5000  0.6301  0.0000  1 Mg 3.27, 6 In 3.31-3.33, 4 Tl 3.38
In  0.5000  0.9369  0.5000  7 In 3.17-3.33, 4 Mg 3.26, 1 Tl 3.50

Short version: model B, model A, most stable first.

Model A:
An optimized crystal structure of Mg3Tl3In2. Source: Alexandria, functional PBE-GGA.

abc: 4.3337 4.7662 19.7818
angles: 90.00 90.00 90.00
Closest atoms and distances in Å follow each position.
Fractional positions:
Mg  0.0000  0.0000  0.0000  8 Tl 3.22-3.23, 4 Mg 3.48
Mg  0.0000  0.5000  0.1284  6 Tl 3.22-3.34, 4 In 3.22-3.40, 2 Mg 3.48
Mg  0.0000  0.5000  0.8716  6 Tl 3.22-3.34, 4 In 3.22-3.40, 2 Mg 3.48
Mg  0.5000  0.0000  0.3716  6 Tl 3.22-3.34, 4 In 3.22-3.40, 2 Mg 3.48
Mg  0.5000  0.0000  0.6284  6 Tl 3.22-3.34, 4 In 3.22-3.40, 2 Mg 3.48
Mg  0.5000  0.5000  0.5000  8 Tl 3.22-3.23, 4 Mg 3.48
Tl  0.0000  0.0000  0.5000  8 Mg 3.22-3.34, 4 Tl 3.38
Tl  0.0000  0.5000  0.3786  6 Mg 3.22-3.23, 4 In 3.36-3.47, 2 Tl 3.38
Tl  0.0000  0.5000  0.6214  6 Mg 3.22-3.23, 4 In 3.36-3.47, 2 Tl 3.38
Tl  0.5000  0.0000  0.1214  6 Mg 3.22-3.23, 4 In 3.36-3.47, 2 Tl 3.38
Tl  0.5000  0.0000  0.8786  6 Mg 3.22-3.23, 4 In 3.36-3.47, 2 Tl 3.38
Tl  0.5000  0.5000  0.0000  8 Mg 3.22-3.34, 4 Tl 3.38
In  0.0000  0.0000  0.2509  4 In 3.22, 4 Mg 3.22-3.40, 4 Tl 3.36-3.47
In  0.0000  0.0000  0.7491  4 In 3.22, 4 Mg 3.22-3.40, 4 Tl 3.36-3.47
In  0.5000  0.5000  0.2491  4 In 3.22, 4 Mg 3.22-3.40, 4 Tl 3.36-3.47
In  0.5000  0.5000  0.7509  4 In 3.22, 4 Mg 3.22-3.40, 4 Tl 3.36-3.47

Model B:
An optimized crystal structure of Mg3Tl3In2. Source: Alexandria, functional PBE-GGA.

abc: 7.1867 7.1867 13.8806
angles: 90.00 90.00 142.85
Closest atoms and distances in Å follow each position.
Fractional positions:
Mg  0.0861  0.9139  0.5707  5 Tl 3.01-3.35, 1 Mg 3.06, 3 In 3.10-3.17
Mg  0.0861  0.9139  0.9293  5 Tl 3.01-3.35, 1 Mg 3.06, 3 In 3.10-3.17
Mg  0.1022  0.8978  0.2500  6 Tl 3.09-3.43, 2 In 3.20
Mg  0.8978  0.1022  0.7500  6 Tl 3.09-3.43, 2 In 3.20
Mg  0.9139  0.0861  0.0707  5 Tl 3.01-3.35, 1 Mg 3.06, 3 In 3.10-3.17
Mg  0.9139  0.0861  0.4293  5 Tl 3.01-3.35, 1 Mg 3.06, 3 In 3.10-3.17
Tl  0.2106  0.7894  0.7500  2 Mg 3.01, 4 In 3.31
Tl  0.4328  0.5672  0.6043  6 Mg 3.09-3.35, 1 Tl 3.43
Tl  0.4328  0.5672  0.8957  6 Mg 3.09-3.35, 1 Tl 3.43
Tl  0.5672  0.4328  0.1043  6 Mg 3.09-3.35, 1 Tl 3.43
Tl  0.5672  0.4328  0.3957  6 Mg 3.09-3.35, 1 Tl 3.43
Tl  0.7894  0.2106  0.2500  2 Mg 3.01, 4 In 3.31
In  0.2610  0.7390  0.0796  4 Mg 3.10-3.20, 2 In 3.20, 3 Tl 3.31-3.46
In  0.2610  0.7390  0.4204  4 Mg 3.10-3.20, 2 In 3.20, 3 Tl 3.31-3.46
In  0.7390  0.2610  0.5796  4 Mg 3.10-3.20, 2 In 3.20, 3 Tl 3.31-3.46
In  0.7390  0.2610  0.9204  4 Mg 3.10-3.20, 2 In 3.20, 3 Tl 3.31-3.46

Short version: model A, model B, most stable first.